Entry 1:
A relaxed Sm2TePt crystal. Source: the Alexandria database, functional PBE.

## Properties
Its crystal system is trigonal. Its space-group type is R-3m, No. 166. The energy above the most stable polymorph in this dataset comes out at 0.0000 eV/atom.

Cell and atoms, written as POSCAR:
```
Sm2TePt
1.0
2.1101 1.2183 7.4779
-2.1101 1.2183 7.4779
0.0000 -2.4366 7.4779
Sm Te Pt
2 1 1
Direct
0.2379 0.2379 0.2379
0.7621 0.7621 0.7621
0.0000 0.0000 0.0000
0.5000 0.5000 0.5000
```

Entry 2:
A relaxed Sm5Te5Pt crystal. Source: the Alexandria database, functional PBE.

## Properties
Its crystal system is monoclinic. Its space-group type is C2/m, No. 12.

Cell and atoms, written as POSCAR:
```
Sm5Te5Pt
1.0
7.0167 -3.1361 0.0000
7.0167 3.1361 0.0000
-2.8379 0.0000 8.2715
Sm Te Pt
5 5 1
Direct
0.0000 0.0000 0.0000
0.3463 0.3463 0.6855
0.3475 0.3475 0.1551
0.6525 0.6525 0.8449
0.6537 0.6537 0.3145
0.1650 0.1650 0.8260
0.1804 0.1804 0.3338
0.5000 0.5000 0.5000
0.8196 0.8196 0.6662
0.8350 0.8350 0.1740
0.5000 0.5000 0.0000
```

Fermi-level density of states for every record listed, in sequence, given in states/eV per atom: 0.49 0.91.
Raw total energy for every record listed, in sequence, given in eV/cell: -23.69 -60.06.
Uncorrected formation energy for every record listed, in sequence, given in eV/atom: -1.2677 -1.3375.